Below is crystalline Sr2YCu at its relaxed geometry, with properties calculated at the GGA-PBE level.

Results
For the total magnetic moment, the calculation gives 0.000 μB/cell. Its energy relative to the elements is 0.05 eV per formula unit. The calculation puts the calculated density at 3.90 g/cm3. The energy above the most stable polymorph in this dataset is 0.000 eV per atom.

Unit cell a=3.750 b=3.736 c=9.968 alpha=90.00 beta=90.06 gamma=90.00
Space group Pm (No. 6)
Inequivalent atoms, fractional coordinates:
Sr 0.000 0.000 0.000 [1 per cell]
Sr 0.499 0.500 0.352 [1 per cell]
Y 0.498 0.500 0.700 [1 per cell]
Cu 0.997 0.000 0.565 [1 per cell]


Below is crystalline SrY3Cu at its relaxed geometry, with properties calculated at the GGA-PBE level.

Results
For the total magnetic moment, the calculation gives 0.000 μB/cell. Its energy relative to the elements is 0.47 eV per formula unit. The calculation puts the calculated density at 4.11 g/cm3. The energy above the most stable polymorph in this dataset is 0.000 eV per atom.

Unit cell a=5.527 b=5.527 c=5.527 alpha=90.00 beta=90.00 gamma=90.00
Space group Pm-3m (No. 221)
Inequivalent atoms, fractional coordinates:
Sr 0.000 0.000 0.000 [1 per cell]
Y 0.000 0.500 0.500 [3 per cell]
Cu 0.500 0.500 0.500 [1 per cell]


Below is crystalline SrYCu2 at its relaxed geometry, with properties calculated at the GGA-PBE level.

Results
For the total magnetic moment, the calculation gives 0.000 μB/cell. Its energy relative to the elements is -0.46 eV per formula unit. The calculation puts the calculated density at 5.24 g/cm3. The energy above the most stable polymorph in this dataset is 0.000 eV per atom.

Unit cell a=3.658 b=3.614 c=7.274 alpha=90.00 beta=90.21 gamma=90.00
Space group P2/m (No. 10)
Inequivalent atoms, fractional coordinates:
Sr 0.000 0.000 0.000 [1 per cell]
Y 0.000 0.000 0.500 [1 per cell]
Cu 0.498 0.500 0.304 [2 per cell]


Below is crystalline SrYCu2 at its relaxed geometry, with properties calculated at the GGA-PBE level.

Results
For the total magnetic moment, the calculation gives 0.000 μB/cell. Its energy relative to the elements is 0.21 eV per formula unit. The calculation puts the calculated density at 4.62 g/cm3. The energy above the most stable polymorph in this dataset is 0.168 eV per atom.

Unit cell a=4.2325 b=4.2325 c=21.0913 alpha=90.00 beta=90.00 gamma=120.00
Space group R-3m (No. 166, hexagonal axes)
Inequivalent atoms, fractional coordinates:
Sr 0.0000 0.0000 0.0000 [3 per cell]
Y 0.0000 0.0000 0.5000 [3 per cell]
Cu 0.0000 0.0000 0.2370 [6 per cell]


Below is crystalline SrY3Cu at its relaxed geometry, with properties calculated at the GGA-PBE level.

Results
For the total magnetic moment, the calculation gives 0.000 μB/cell. Its energy relative to the elements is 7.16 eV per formula unit. The calculation puts the calculated density at 3.92 g/cm3. The energy above the most stable polymorph in this dataset is 1.338 eV per atom.

Unit cell a=5.614 b=5.614 c=5.614 alpha=90.00 beta=90.00 gamma=90.00
Space group Pm-3m (No. 221)
Inequivalent atoms, fractional coordinates:
Sr 0.000 0.000 0.000 [1 per cell]
Y 0.000 0.000 0.500 [3 per cell]
Cu 0.500 0.500 0.500 [1 per cell]


Below is crystalline Sr3YCu at its relaxed geometry, with properties calculated at the GGA-PBE level.

Results
For the total magnetic moment, the calculation gives 0.002 μB/cell. Its energy relative to the elements is 1.17 eV per formula unit. The calculation puts the calculated density at 3.27 g/cm3. The energy above the most stable polymorph in this dataset is 0.000 eV per atom.

Unit cell a=5.953 b=5.953 c=5.953 alpha=90.00 beta=90.00 gamma=90.00
Space group Pm-3m (No. 221)
Inequivalent atoms, fractional coordinates:
Sr 0.000 0.000 0.500 [3 per cell]
Y 0.500 0.500 0.500 [1 per cell]
Cu 0.000 0.000 0.000 [1 per cell]